{"formula": "NbCdHg2", "functional": "PBE", "state": "optimized geometry", "mass_density_g_cm3": 11.07, "spacegroup": "No. 122", "crystal_system": "tetragonal", "dos_ef_per_ev_atom": 0.148, "vol_a3_per_cell": 182, "energy_ev_per_atom": -2.38, "lattice": [[-2.057, 1.447, 7.313], [-3.790, -6.736, 0.267], [-0.398, -4.027, 4.774]], "species": ["Nb", "Nb", "Hg", "Hg", "Hg", "Hg", "Cd", "Cd"], "frac_coords": [[0.500, 0.500, 0.000], [0.250, 0.750, 0.500], [0.623, 0.125, 0.250], [0.127, 0.625, 0.250], [0.375, 0.377, 0.750], [0.875, 0.873, 0.750], [0.000, 0.000, 0.000], [0.750, 0.250, 0.500]]}


{"formula": "NaSr2CaPd", "functional": "PBE", "state": "optimized geometry", "mass_density_g_cm3": 2.76, "spacegroup": "No. 123", "crystal_system": "tetragonal", "relative_energy_mev_per_atom": 0, "dos_ef_per_ev_atom": 0.439, "vol_a3_per_cell": 208, "lattice": [[6.033, 0.000, 0.000], [0.000, 6.033, 0.000], [0.000, 0.000, 5.706]], "species": ["Sr", "Sr", "Ca", "Pd", "Na"], "frac_coords": [[0.000, 0.500, 0.000], [0.500, 0.000, 0.000], [0.000, 0.000, 0.500], [0.000, 0.000, 0.000], [0.500, 0.500, 0.500]]}


{"formula": "PmTl2Rh", "functional": "PBE", "state": "optimized geometry", "mass_density_g_cm3": 11.45, "spacegroup": "No. 123", "crystal_system": "tetragonal", "relative_energy_mev_per_atom": 165, "dos_ef_per_ev_atom": 0.612, "vol_a3_per_cell": 95, "lattice": [[-2.382, 4.436, 0.003], [-3.156, -1.693, -2.470], [-2.175, -1.170, 3.581]], "species": ["Tl", "Tl", "Rh", "Pm"], "frac_coords": [[0.000, 0.000, 0.500], [0.000, 0.500, 0.000], [0.500, 0.500, 0.500], [0.500, 0.000, 0.000]]}


{"formula": "Rb2LaTc", "functional": "PBE", "state": "optimized geometry", "mass_density_g_cm3": 4.47, "spacegroup": "No. 225", "crystal_system": "cubic", "relative_energy_mev_per_atom": 364, "dos_ef_per_ev_atom": 0.605, "vol_a3_per_cell": 151, "lattice": [[0.000, 4.230, 4.230], [4.230, 0.000, 4.230], [4.230, 4.230, 0.000]], "species": ["Tc", "Rb", "Rb", "La"], "frac_coords": [[0.000, 0.000, 0.000], [0.250, 0.250, 0.250], [0.750, 0.750, 0.750], [0.500, 0.500, 0.500]]}


{"formula": "TaSi", "functional": "PBE", "state": "optimized geometry", "mass_density_g_cm3": 11.13, "spacegroup": "No. 12", "crystal_system": "monoclinic", "e_form_raw_ev_per_atom": -0.253, "dos_ef_per_ev_atom": 0.548, "vol_a3_per_cell": 62, "lattice": [[4.992, 0.016, 0.002], [3.905, 4.566, -0.004], [0.825, 0.201, 2.745]], "species": ["Si", "Si", "Ta", "Ta"], "frac_coords": [[0.015, 0.955, 0.015], [0.902, 0.629, 0.735], [0.557, 0.475, 0.484], [0.360, 0.109, 0.266]]}